# 1
Compound: Nd3Sm2Tm2
Source: Alexandria
Functional: PBE
Structure: optimized geometry

a b c (Å): 3.534 8.601 9.026
angles (deg): 118.21 101.29 90.00
Positions (direct):
Nd 0.000 0.500 0.000
Nd 0.213 0.795 0.426
Nd 0.787 0.205 0.574
Sm 0.565 0.912 0.130
Sm 0.435 0.088 0.870
Tm 0.854 0.671 0.707
Tm 0.146 0.329 0.293

Values from the calculation:
N(E_F) = 10.97 states/eV/f.u.
formation energy = 0.1172 eV per atom
energy relative to the lowest polymorph listed for this composition = 101 meV/atom
space group = No. 12
DFT total energy = -4.55 eV per atom

---

# 2
Compound: MgBrCl2
Source: Alexandria
Functional: PBE
Structure: optimized geometry

a b c (Å): 3.963 5.492 4.161
angles (deg): 90.00 90.00 90.00
Positions (direct):
Br 0.000 0.500 0.500
Cl 0.000 0.000 0.000
Cl 0.500 0.500 0.000
Mg 0.500 0.000 0.500

Values from the calculation:
uncorrected formation energy = -0.5023 eV/atom
N(E_F) = 1.66 states/eV/f.u.
energy relative to the lowest polymorph listed for this composition = 683 meV/atom
space group = No. 47
DFT total energy = -2.24 eV per atom